No. 1
VASP calculation (PBE-GGA) on a geometry-optimized Dy2InAu6 structure.

Computed properties:
Fermi-level density of states in states/eV/cell: 2.72
Raw total energy in eV/atom: -4.13
Calculated formation energy in eV/atom: -0.61
Symmetry: C2/m (12)

Geometry as POSCAR:
```
Dy2InAu6
1.0
2.6251 -7.8896 0.0000
2.6251 7.8896 0.0000
-2.5705 0.0000 4.5204
Dy In Au
2 1 6
Cartesian
2.6251 5.3551 0.0000 Dy
2.6251 -5.3551 0.0000 Dy
-1.2852 0.0000 2.2602 In
0.0426 2.6854 3.0469 Au
1.3652 0.0000 0.8087 Au
2.6371 2.6854 1.4735 Au
0.0426 -2.6854 3.0469 Au
1.3144 0.0000 3.7117 Au
2.6371 -2.6854 1.4735 Au
```

No. 2
VASP calculation (PBE-GGA) on a geometry-optimized Dy4In2Au structure.

Computed properties:
Fermi-level density of states in states/eV/cell: 5.92
Raw total energy in eV/atom: -4.28
Calculated formation energy in eV/atom: -0.40
Symmetry: R-3m (166)

Geometry as POSCAR:
```
Dy4In2Au
1.0
2.6068 1.5050 8.4984
-2.6068 1.5050 8.4984
0.0000 -3.0100 8.4984
Dy In Au
4 2 1
Cartesian
0.0000 0.0000 3.1504 Dy
0.0000 0.0000 9.5490 Dy
0.0000 0.0000 15.9462 Dy
0.0000 0.0000 22.3448 Dy
0.0000 0.0000 6.2805 In
0.0000 0.0000 19.2147 In
0.0000 0.0000 0.0000 Au
```

No. 3
VASP calculation (PBE-GGA) on a geometry-optimized Dy2In5Au structure.

Computed properties:
Fermi-level density of states in states/eV/cell: 5.23
Raw total energy in eV/atom: -3.73
Calculated formation energy in eV/atom: -0.46
Symmetry: Pbam (55)

Geometry as POSCAR:
```
Dy2In5Au
1.0
6.4484 0.0000 0.0000
0.0000 12.8638 0.0000
0.0000 0.0000 4.5906
Dy In Au
4 10 2
Cartesian
1.5491 1.6348 0.0000 Dy
1.6751 8.0667 0.0000 Dy
4.7733 4.7971 0.0000 Dy
4.8994 11.2290 0.0000 Dy
0.0000 0.0000 2.2953 In
0.0159 9.5528 2.2953 In
1.5184 4.8975 0.0000 In
1.7058 11.3294 0.0000 In
3.2083 3.1209 2.2953 In
3.2242 6.4319 2.2953 In
3.2401 9.7429 2.2953 In
4.7426 1.5344 0.0000 In
4.9300 7.9663 0.0000 In
6.4326 3.3110 2.2953 In
0.0000 6.4319 2.2953 Au
3.2242 0.0000 2.2953 Au
```